Entry 1:
12
Lattice="-2.740 3.471 -3.106 -2.468 -2.742 3.948 2.634 3.497 2.979" Properties=species:S:1:pos:R:3 comment="Li3PuZn2O6 PBE-GGA optimized geometry" crystal_system=monoclinic volume_a3_per_fu=126.2 total_magnetization_mub_per_cell=3.0 dft_energy_ev_per_atom=-6.35 pbc="T T T"
Li -1.202 0.170 4.116
Li -1.372 4.056 -0.295
Li -1.287 2.113 1.910
Pu 0.000 0.000 0.000
Zn -2.558 -0.679 1.605
Zn -2.649 1.407 -0.763
O -1.984 4.230 1.725
O -3.261 1.370 1.333
O -0.590 -0.005 2.096
O -1.894 2.171 4.062
O 0.687 2.855 2.488
O -0.680 2.054 -0.242

***

Entry 2:
4
Lattice="-0.843 2.965 -2.864 -2.540 -2.676 -2.024 -4.677 1.906 3.349" Properties=species:S:1:pos:R:3 comment="InTeSe2 PBE-GGA optimized geometry" crystal_system=tetragonal volume_a3_per_fu=107.3 total_magnetization_mub_per_cell=0.0 dft_energy_ev_per_atom=-3.39 pbc="T T T"
In -5.784 1.813 0.487
Se -4.092 1.668 2.930
Se -3.445 0.859 -1.188
Te -1.754 0.715 1.256

***

Entry 3:
5
Lattice="-3.081 -1.857 2.446 0.830 -3.840 -1.869 2.966 -0.860 3.084" Properties=species:S:1:pos:R:3 comment="Hf2ZrGaH PBE-GGA optimized geometry" crystal_system=tetragonal volume_a3_per_fu=82.6 total_magnetization_mub_per_cell=0.0 dft_energy_ev_per_atom=-7.31 pbc="T T T"
H 0.000 0.000 0.000
Hf 0.415 -1.920 -0.935
Hf -1.541 -0.929 1.223
Ga 0.357 -3.278 1.830
Zr 1.483 -0.430 1.542

***

Entry 4:
5
Lattice="-2.218 4.142 2.375 -3.600 -3.171 2.169 3.453 -0.782 4.588" Properties=species:S:1:pos:R:3 comment="RbCuHgTe2 PBE-GGA optimized geometry" crystal_system=tetragonal volume_a3_per_fu=160.6 total_magnetization_mub_per_cell=0.0 dft_energy_ev_per_atom=-2.56 pbc="T T T"
Te -1.800 -1.586 1.084
Te -1.109 2.071 1.188
Hg 1.727 -0.391 2.294
Rb -1.182 0.094 4.566
Cu 0.000 0.000 0.000